A geometry-optimized Sr2ZrNi structure. Source: Alexandria, functional GGA-PBE.

Computed properties:
**E above lowest polymorph**: 0.7414 eV/atom

Cell: 5.485 5.485 5.485 Å, 60.00 60.00 60.00°
Fractional coordinates of all 4 atoms:
Sr 0.250 0.250 0.250
Sr 0.750 0.750 0.750
Zr 0.500 0.500 0.500
Ni 0.000 0.000 0.000

***

A geometry-optimized Ga2AgPd7 structure. Source: Alexandria, functional GGA-PBE.

Computed properties:
**E above lowest polymorph**: 0.3445 eV/atom

Cell: 4.331 7.175 7.175 Å, 119.34 90.00 90.00°
Fractional coordinates of all 10 atoms:
Ga 0.500 0.698 0.302
Ga 0.500 0.302 0.698
Ag 0.000 0.000 0.000
Pd 0.000 0.783 0.217
Pd 0.000 0.217 0.783
Pd 0.500 0.071 0.305
Pd 0.500 0.929 0.695
Pd 0.500 0.305 0.071
Pd 0.500 0.695 0.929
Pd 0.500 0.500 0.500

***

A geometry-optimized SrTaRh4 structure. Source: Alexandria, functional GGA-PBE.

Cell: 5.282 5.282 5.282 Å, 60.00 60.00 60.00°
Fractional coordinates of all 6 atoms:
Sr 0.750 0.750 0.750
Ta 0.000 0.000 0.000
Rh 0.876 0.375 0.375
Rh 0.375 0.375 0.876
Rh 0.375 0.876 0.375
Rh 0.375 0.375 0.375

***

A geometry-optimized RbBeGe2B structure. Source: Alexandria, functional GGA-PBE.

Cell: 5.769 5.409 5.769 Å, 90.00 90.00 90.00°
Fractional coordinates of all 5 atoms:
Be 0.000 0.500 0.000
Ge 0.000 0.000 0.500
Ge 0.500 0.000 0.000
B 0.500 0.500 0.500
Rb 0.000 0.000 0.000

***

| no. | calculated formation energy (eV per atom) | total energy (eV/atom) |
| --- | --- | --- |
| 1 | 0.836 | -3.587 |
| 2 | 0.035 | -4.490 |
| 3 | -0.045 | -7.202 |
| 4 | 2.826 | -1.295 |